# 1
{
  "formula": "LiMg3Zn2",
  "functional": "PBE-GGA",
  "state": "optimized geometry",
  "e_tot_ev_per_cell": -9.5,
  "cell": [[5.273, 0.000, 0.000], [-2.636, 4.566, 0.000], [0.000, 0.000, 4.610]],
  "species": ["Zn", "Zn", "Mg", "Mg", "Mg", "Li"],
  "fractional_positions": [[0.667, 0.333, 0.000], [0.333, 0.667, 0.000], [0.660, 0.000, 0.500], [0.340, 0.340, 0.500], [0.000, 0.660, 0.500], [0.000, 0.000, 0.000]]
}


# 2
{
  "formula": "LiMo",
  "functional": "PBE-GGA",
  "state": "optimized geometry",
  "magnetic_moment_mub_per_atom": 0.008,
  "e_tot_ev_per_cell": -9.9,
  "polymorph_energy_mev_per_atom": 997.2,
  "cell": [[2.170, 1.371, 2.181], [-1.138, 1.887, 2.548], [0.170, -1.157, 3.159]],
  "species": ["Mo", "Li"],
  "fractional_positions": [[0.500, 0.500, 0.500], [0.000, 0.000, 0.000]]
}


# 3
{
  "formula": "Li2Mo",
  "functional": "PBE-GGA",
  "state": "optimized geometry",
  "magnetic_moment_mub_per_atom": 0.002,
  "e_tot_ev_per_cell": -26.0,
  "cell": [[2.467, 0.401, 4.080], [-1.868, -1.623, 4.095], [1.829, -3.900, 2.084]],
  "species": ["Li", "Li", "Li", "Li", "Mo", "Mo"],
  "fractional_positions": [[0.625, 0.625, 0.625], [0.625, 0.625, 0.125], [0.625, 0.125, 0.625], [0.125, 0.625, 0.625], [0.250, 0.250, 0.250], [0.000, 0.000, 0.000]]
}


# 4
{
  "formula": "LiMo",
  "functional": "PBE-GGA",
  "state": "optimized geometry",
  "magnetic_moment_mub_per_atom": 0.004,
  "e_tot_ev_per_cell": -11.9,
  "polymorph_energy_mev_per_atom": 0.0,
  "cell": [[-2.312, 0.194, -1.321], [1.301, -2.330, 0.077], [-2.452, -1.233, 4.111]],
  "species": ["Li", "Mo"],
  "fractional_positions": [[0.667, 0.333, 0.750], [0.333, 0.667, 0.250]]
}


# 5
{
  "formula": "LiMo",
  "functional": "PBE-GGA",
  "state": "optimized geometry",
  "magnetic_moment_mub_per_atom": 2.408,
  "e_tot_ev_per_cell": -7.4,
  "polymorph_energy_mev_per_atom": 2235.3,
  "cell": [[2.079, -2.818, -2.396], [2.158, -3.161, 1.832], [-1.418, -3.988, -0.297]],
  "species": ["Li", "Mo"],
  "fractional_positions": [[0.000, 0.000, 0.000], [0.250, 0.250, 0.250]]
}


# 6
{
  "formula": "Li5Mo3N3",
  "functional": "PBE-GGA",
  "state": "optimized geometry",
  "magnetic_moment_mub_per_atom": 0.005,
  "e_tot_ev_per_cell": -69.3,
  "cell": [[-3.857, 1.173, -4.404], [5.131, -2.810, -1.195], [-1.769, -3.494, 0.619]],
  "species": ["Mo", "Mo", "Mo", "N", "N", "N", "Li", "Li", "Li", "Li", "Li"],
  "fractional_positions": [[0.000, 0.614, 0.000], [0.386, 0.386, 0.000], [0.614, 0.000, 0.000], [0.628, 0.000, 0.500], [0.372, 0.372, 0.500], [0.000, 0.628, 0.500], [0.739, 0.739, 0.500], [0.261, 0.000, 0.500], [0.000, 0.261, 0.500], [0.667, 0.333, 0.500], [0.333, 0.667, 0.500]]
}


# 7
{
  "formula": "LiMoN2",
  "functional": "PBE-GGA",
  "state": "optimized geometry",
  "magnetic_moment_mub_per_atom": 0.013,
  "e_tot_ev_per_cell": -31.4,
  "cell": [[-1.449, 2.510, 0.000], [2.898, 0.000, 0.000], [1.449, -0.837, -5.274]],
  "species": ["Li", "N", "N", "Mo"],
  "fractional_positions": [[0.172, 0.828, 0.515], [0.589, 0.411, 0.766], [0.745, 0.255, 0.234], [0.000, 0.000, 0.000]]
}


# 8
{
  "formula": "LiMo3N5",
  "functional": "PBE-GGA",
  "state": "optimized geometry",
  "magnetic_moment_mub_per_atom": 0.000,
  "e_tot_ev_per_cell": -69.7,
  "cell": [[-3.220, 0.985, -3.775], [-0.337, -4.363, 2.538], [-3.275, 2.215, 3.373]],
  "species": ["N", "N", "N", "N", "N", "Mo", "Mo", "Mo", "Li"],
  "fractional_positions": [[0.667, 0.333, 0.772], [0.667, 0.333, 0.228], [0.000, 0.000, 0.500], [0.333, 0.667, 0.772], [0.333, 0.667, 0.228], [0.500, 0.000, 0.500], [0.000, 0.500, 0.500], [0.500, 0.500, 0.500], [0.000, 0.000, 0.000]]
}


# 9
{
  "formula": "SrLi3MoN3",
  "functional": "PBE-GGA",
  "state": "optimized geometry",
  "magnetic_moment_mub_per_atom": 0.018,
  "e_tot_ev_per_cell": -97.3,
  "cell": [[2.862, -5.104, 4.568], [6.958, -2.120, 1.484], [4.238, 0.465, 6.077]],
  "species": ["Li", "Li", "Li", "Li", "Li", "Li", "N", "N", "N", "N", "N", "N", "Sr", "Sr", "Mo", "Mo"],
  "fractional_positions": [[0.239, 0.894, 0.470], [0.106, 0.530, 0.761], [0.530, 0.761, 0.106], [0.761, 0.106, 0.530], [0.894, 0.470, 0.239], [0.470, 0.239, 0.894], [0.603, 0.902, 0.213], [0.397, 0.098, 0.787], [0.902, 0.213, 0.603], [0.213, 0.603, 0.902], [0.098, 0.787, 0.397], [0.787, 0.397, 0.098], [0.662, 0.662, 0.662], [0.338, 0.338, 0.338], [0.066, 0.066, 0.066], [0.934, 0.934, 0.934]]
}


# 10
{
  "formula": "NaLiMoS3",
  "functional": "PBE-GGA",
  "state": "optimized geometry",
  "magnetic_moment_mub_per_atom": 0.327,
  "e_tot_ev_per_cell": -62.0,
  "cell": [[-2.972, 5.683, -1.664], [-0.574, -6.495, 1.174], [-1.669, 1.793, 9.106]],
  "species": ["Na", "Na", "S", "S", "S", "S", "S", "S", "Li", "Li", "Mo", "Mo"],
  "fractional_positions": [[0.253, 0.747, 0.250], [0.747, 0.253, 0.750], [0.075, 0.925, 0.750], [0.627, 0.373, 0.453], [0.925, 0.075, 0.250], [0.627, 0.373, 0.047], [0.373, 0.627, 0.547], [0.373, 0.627, 0.953], [0.471, 0.529, 0.750], [0.529, 0.471, 0.250], [0.000, 0.000, 0.000], [0.000, 0.000, 0.500]]
}


# 11
{
  "formula": "NaLiMoSe3",
  "functional": "PBE-GGA",
  "state": "optimized geometry",
  "magnetic_moment_mub_per_atom": 0.332,
  "e_tot_ev_per_cell": -56.9,
  "cell": [[1.913, -6.686, 0.000], [1.913, 6.686, 0.000], [0.000, 0.000, 9.860]],
  "species": ["Mo", "Mo", "Se", "Se", "Se", "Se", "Se", "Se", "Na", "Na", "Li", "Li"],
  "fractional_positions": [[0.000, 0.000, 0.000], [0.000, 0.000, 0.500], [0.079, 0.921, 0.250], [0.371, 0.629, 0.454], [0.629, 0.371, 0.954], [0.921, 0.079, 0.750], [0.629, 0.371, 0.546], [0.371, 0.629, 0.046], [0.249, 0.751, 0.750], [0.751, 0.249, 0.250], [0.529, 0.471, 0.750], [0.471, 0.529, 0.250]]
}


# 12
{
  "formula": "Li2NbMo",
  "functional": "PBE-GGA",
  "state": "optimized geometry",
  "magnetic_moment_mub_per_atom": 0.014,
  "e_tot_ev_per_cell": -22.4,
  "cell": [[0.000, 3.141, 3.141], [3.141, 0.000, 3.141], [3.141, 3.141, 0.000]],
  "species": ["Mo", "Li", "Li", "Nb"],
  "fractional_positions": [[0.750, 0.750, 0.750], [0.250, 0.250, 0.250], [0.500, 0.500, 0.500], [0.000, 0.000, 0.000]]
}